# 1
Material: CrCl7
Method: DFT, SCAN
State: single point on PBEsol structure

Calculated values
Its uncorrected formation energy is 0.45 eV/atom.

Lattice parameters (Å, degrees): 8.4413 8.4413 8.4413 90.00 90.00 90.00
With the nearest neighbours (Å) after each atom.
Space group Fm-3m (No. 225)
Unique sites:
Cr 0.0000 0.0000 0.0000 [4 per cell]  12 Cl 2.98
Cl 0.0000 0.0000 0.5000 [4 per cell]  12 Cl 2.98
Cl 0.0000 0.2500 0.2500 [24 per cell]  10 Cl 2.98, 2 Cr 2.98



# 2
Material: CrCl3
Method: DFT, SCAN
State: single point on PBEsol structure

Calculated values
Its uncorrected formation energy is -1.51 eV/atom.

Lattice parameters (Å, degrees): 5.9277 5.9277 19.4640 90.00 90.00 120.00
With the nearest neighbours (Å) after each atom.
Space group P3_212 (No. 153)
Unique sites:
Cr 0.2218 0.1109 0.0000 [3 per cell]  6 Cl 2.32
Cr 0.2224 0.4447 0.3333 [3 per cell]  6 Cl 2.32
Cl 0.1991 0.0876 0.5989 [6 per cell]  2 Cr 2.32
Cl 0.1991 0.4443 0.7345 [6 per cell]  2 Cr 2.32
Cl 0.5319 0.0877 0.9322 [6 per cell]  2 Cr 2.32